No. 1
An optimized crystal structure of Ce2TcGe6Rh, computed with PBE.

Geometry as extended XYZ:
```
20
Lattice="-2.388 6.052 -0.500 -2.695 -0.522 6.562 7.555 3.259 3.362" Properties=species:S:1:pos:R:3 pbc="T T T"
Ge 3.783 2.098 7.319
Ge -0.943 1.857 0.319
Ge -0.142 0.404 5.572
Ge -1.836 4.119 0.132
Ge -1.995 0.858 3.652
Ge 3.660 5.296 4.036
Ge 0.831 2.277 7.674
Ge 0.971 5.588 4.151
Ge -3.471 4.598 3.343
Ge -0.664 6.067 7.361
Ge 1.883 3.276 4.342
Ge 0.030 3.730 2.421
Ce 2.460 5.087 7.241
Ce 4.983 2.306 4.114
Ce -1.367 3.436 5.538
Ce 1.255 0.698 2.456
Rh -2.242 2.823 2.302
Rh 2.130 1.311 5.692
Tc -2.439 -0.472 5.939
Tc 2.327 4.606 2.054
```

Results
Fermi-level density of states: 26.24 states/eV/cell
ΔE_f: -0.3957 eV/atom
Total energy: -122.49 eV per cell
Crystal system: orthorhombic



No. 2
An optimized crystal structure of Nb6MoRu, computed with PBE.

Geometry as extended XYZ:
```
8
Lattice="7.352 0.018 0.025 3.680 6.376 -0.011 3.660 2.138 3.011" Properties=species:S:1:pos:R:3 pbc="T T T"
Nb 6.429 6.915 0.754
Nb 8.264 1.618 2.272
Nb 11.934 4.809 2.275
Nb 2.759 3.724 0.751
Nb 5.513 2.132 0.763
Nb 9.180 6.401 2.262
Mo 7.347 4.267 1.513
Ru 0.000 0.000 0.000
```

Results
Fermi-level density of states: 8.80 states/eV/cell
ΔE_f: -0.0892 eV/atom
Total energy: -81.24 eV per cell
Crystal system: triclinic
E above lowest polymorph: 78 meV/atom



No. 3
An optimized crystal structure of Sm2DyYTm2, computed with PBE.

Geometry as extended XYZ:
```
12
Lattice="-1.812 -3.677 -3.831 9.163 -2.010 -2.406 0.149 -5.111 4.835" Properties=species:S:1:pos:R:3 pbc="T T T"
Sm 6.147 -2.620 -0.394
Sm 0.659 -3.450 -1.110
Sm 6.841 -7.348 -0.292
Sm 3.165 -4.501 2.823
Tm 3.091 -1.945 0.405
Tm 6.221 -5.176 2.024
Tm 0.733 -6.005 1.308
Tm 6.767 -4.793 -2.710
Dy 0.074 -2.556 2.418
Dy 3.676 -2.843 -3.119
Y 3.750 -5.399 -0.701
Y 0.000 0.000 0.000
```

Results
Fermi-level density of states: 22.83 states/eV/cell
ΔE_f: 0.0665 eV/atom
Total energy: -58.10 eV per cell
Crystal system: orthorhombic



No. 4
An optimized crystal structure of CuHg2Br, computed with PBE.

Geometry as extended XYZ:
```
4
Lattice="4.027 0.000 0.000 0.000 4.021 0.000 0.000 0.000 6.434" Properties=species:S:1:pos:R:3 pbc="T T T"
Hg 0.000 0.000 0.000
Hg 2.013 2.010 0.000
Br 2.013 0.000 3.217
Cu 0.000 2.010 3.217
```

Results
Fermi-level density of states: 0.55 states/eV/cell
Total energy: -5.81 eV per cell
Crystal system: tetragonal
E above lowest polymorph: 235 meV/atom
Raw formation energy: 142 meV/atom



No. 5
An optimized crystal structure of La9Mg2Sc, computed with PBE.

Geometry as extended XYZ:
```
12
Lattice="-1.525 4.742 -1.180 -4.847 -1.310 1.001 1.879 4.253 14.658" Properties=species:S:1:pos:R:3 pbc="T T T"
Sc 0.000 0.000 0.000
La -0.854 2.897 12.742
La 0.177 4.497 6.739
La -1.484 1.472 7.830
La 0.806 5.923 11.651
La -1.931 4.557 9.703
La -2.113 0.046 2.917
La -3.186 1.716 -0.090
La -0.453 3.072 1.827
La -2.562 3.128 4.776
Mg 0.628 1.423 4.903
Mg 1.250 2.830 9.755
```

Results
Fermi-level density of states: 17.20 states/eV/cell
ΔE_f: -0.0047 eV/atom
Total energy: -53.92 eV per cell
Crystal system: tetragonal



No. 6
An optimized crystal structure of Mn2SiMo, computed with PBE.

Geometry as extended XYZ:
```
8
Lattice="6.707 0.000 0.000 0.000 6.707 0.000 3.353 3.353 2.540" Properties=species:S:1:pos:R:3 pbc="T T T"
Mn 4.900 1.677 0.635
Mn 5.030 5.160 1.905
Mn 8.383 8.254 1.905
Mn 1.806 5.030 0.635
Si 3.353 3.353 0.000
Si 3.353 6.707 1.270
Mo 0.000 0.000 0.000
Mo 6.707 3.353 1.270
```

Results
Fermi-level density of states: 10.31 states/eV/cell
Total energy: -65.79 eV per cell
Crystal system: tetragonal
Raw formation energy: 424 meV/atom